# 1
# Zr2Ge2TeSe

Zr2Ge2TeSe after structural relaxation (PBE, OQMD).

Its space-group type is No. 115. For the electronic total energy, the calculation gives -5.7730 eV/atom.

a b c (Å): 4.0209 4.0209 8.0488
angles (deg): 90.00 90.00 90.00
Closest atoms and distances in Å follow each position.
Positions (direct):
Te1 0.5000 0.5000 0.0000  4 Se 2.84, 4 Zr 3.00
Zr1 0.0000 0.5000 0.2759  5 Ge 2.89-2.93, 2 Te 3.00, 2 Se 3.00
Zr2 0.5000 0.0000 0.7241  5 Ge 2.89-2.93, 2 Se 3.00, 2 Te 3.00
Ge1 0.0000 0.5000 0.6353  5 Zr 2.89-2.93
Ge2 0.5000 0.0000 0.3647  5 Zr 2.89-2.93
Se1 0.0000 0.0000 0.0000  4 Te 2.84, 4 Zr 3.00

# 2
# ZrHgO3

ZrHgO3 after structural relaxation (PBE, OQMD).

Its space-group type is No. 62. For the electronic total energy, the calculation gives -6.7546 eV/atom.

a b c (Å): 5.6459 5.7935 8.1596
angles (deg): 90.00 90.00 90.00
Closest atoms and distances in Å follow each position.
Positions (direct):
O1 0.8051 0.8022 0.4443  2 Zr 2.12, 1 Hg 2.33
O2 0.3958 0.9576 0.2500  2 Zr 2.14, 1 Hg 2.32
O3 0.1949 0.1978 0.5557  2 Zr 2.12, 1 Hg 2.33
O4 0.1042 0.4576 0.2500  2 Zr 2.14, 1 Hg 2.32
O5 0.1949 0.1978 0.9443  2 Zr 2.12, 1 Hg 2.33
O6 0.3051 0.6978 0.9443  2 Zr 2.12, 1 Hg 2.33
O7 0.8958 0.5424 0.7500  2 Zr 2.14, 1 Hg 2.32
O8 0.6042 0.0424 0.7500  2 Zr 2.14, 1 Hg 2.32
O9 0.8051 0.8022 0.0557  2 Zr 2.12, 1 Hg 2.33
O10 0.6949 0.3022 0.0557  2 Zr 2.12, 1 Hg 2.33
O11 0.6949 0.3022 0.4443  2 Zr 2.12, 1 Hg 2.33
O12 0.3051 0.6978 0.5557  2 Zr 2.12, 1 Hg 2.33
Hg1 0.9921 0.0343 0.2500  4 O 2.32-2.53
Hg2 0.5080 0.5343 0.2500  4 O 2.32-2.53
Hg3 0.4920 0.4657 0.7500  4 O 2.32-2.53
Hg4 0.0080 0.9657 0.7500  4 O 2.32-2.53
Zr1 0.0000 0.5000 0.0000  6 O 2.12-2.14
Zr2 0.5000 0.0000 0.5000  6 O 2.12-2.14
Zr3 0.0000 0.5000 0.5000  6 O 2.12-2.14
Zr4 0.5000 0.0000 0.0000  6 O 2.12-2.14

# 3
# PmSn2Pd2

PmSn2Pd2 after structural relaxation (PBE, OQMD).

Its space-group type is No. 11. For the electronic total energy, the calculation gives -5.3850 eV/atom.

a b c (Å): 4.5491 4.5486 10.8243
angles (deg): 90.00 90.11 90.00
Closest atoms and distances in Å follow each position.
Positions (direct):
Sn1 0.2501 0.2500 0.0000  4 Pd 2.69
Sn2 0.2526 0.7500 0.3718  5 Pd 2.59-2.67
Sn3 0.7499 0.7500 0.0000  4 Pd 2.69
Sn4 0.7474 0.2500 0.6282  5 Pd 2.59-2.67
Pd1 0.2467 0.2500 0.5000  4 Sn 2.66-2.67
Pd2 0.7533 0.7500 0.5000  4 Sn 2.66-2.67
Pd3 0.7497 0.2500 0.8673  5 Sn 2.59-2.69
Pd4 0.2503 0.7500 0.1327  5 Sn 2.59-2.69
Pm1 0.7511 0.2500 0.2604  8 Sn 3.43-3.62, 8 Pd 3.43-3.50
Pm2 0.2489 0.7500 0.7396  8 Sn 3.43-3.62, 8 Pd 3.43-3.50

# 4
# Zr4AlNi2

Zr4AlNi2 after structural relaxation (PBE, OQMD).

Its space-group type is No. 227. For the electronic total energy, the calculation gives -6.8899 eV/atom.

a b c (Å): 9.2637 9.2637 9.2637
angles (deg): 60.00 60.00 60.00
Closest atoms and distances in Å follow each position.
Positions (direct):
Zr1 0.2256 0.7744 0.2256  2 Al 2.66, 2 Ni 2.96
Zr2 0.6250 0.6250 0.1250  6 Ni 2.79, 6 Zr 3.03
Zr3 0.0244 0.0244 0.4756  2 Al 2.66, 2 Ni 2.96
Zr4 0.4756 0.0244 0.4756  2 Al 2.66, 2 Ni 2.96
Zr5 0.6250 0.1250 0.6250  6 Ni 2.79, 6 Zr 3.03
Zr6 0.4756 0.0244 0.0244  2 Al 2.66, 2 Ni 2.96
Zr7 0.7744 0.7744 0.2256  2 Al 2.66, 2 Ni 2.96
Zr8 0.2256 0.7744 0.7744  2 Al 2.66, 2 Ni 2.96
Zr9 0.0244 0.4756 0.4756  2 Al 2.66, 2 Ni 2.96
Zr10 0.2256 0.2256 0.7744  2 Al 2.66, 2 Ni 2.96
Zr11 0.7744 0.2256 0.7744  2 Al 2.66, 2 Ni 2.96
Zr12 0.6250 0.6250 0.6250  6 Ni 2.79, 6 Zr 3.03
Zr13 0.4756 0.4756 0.0244  2 Al 2.66, 2 Ni 2.96
Zr14 0.7744 0.2256 0.2256  2 Al 2.66, 2 Ni 2.96
Zr15 0.0244 0.4756 0.0244  2 Al 2.66, 2 Ni 2.96
Zr16 0.1250 0.6250 0.6250  6 Ni 2.79, 6 Zr 3.03
Ni1 0.8260 0.8260 0.5219  6 Zr 2.79-2.96, 3 Ni 2.82
Ni2 0.4240 0.7281 0.4240  6 Zr 2.79-2.96, 3 Ni 2.82
Ni3 0.7281 0.4240 0.4240  6 Zr 2.79-2.96, 3 Ni 2.82
Ni4 0.8260 0.8260 0.8260  6 Zr 2.79-2.96, 3 Ni 2.82
Ni5 0.8260 0.5219 0.8260  6 Zr 2.79-2.96, 3 Ni 2.82
Ni6 0.5219 0.8260 0.8260  6 Zr 2.79-2.96, 3 Ni 2.82
Ni7 0.4240 0.4240 0.4240  6 Zr 2.79-2.96, 3 Ni 2.82
Ni8 0.4240 0.4240 0.7281  6 Zr 2.79-2.96, 3 Ni 2.82
Al1 0.1250 0.1250 0.1250  6 Zr 2.66
Al2 0.6250 0.1250 0.1250  6 Zr 2.66
Al3 0.1250 0.6250 0.1250  6 Zr 2.66
Al4 0.1250 0.1250 0.6250  6 Zr 2.66

# 5
# LaSmAs

LaSmAs after structural relaxation (PBE, OQMD).

Its space-group type is No. 216. For the electronic total energy, the calculation gives -5.6133 eV/atom.

a b c (Å): 5.0148 5.0148 5.0148
angles (deg): 60.00 60.00 60.00
Closest atoms and distances in Å follow each position.
Positions (direct):
La1 0.2500 0.2500 0.2500  4 As 3.07
As1 0.0000 0.0000 0.0000  4 Sm 3.07, 4 La 3.07
Sm1 0.7500 0.7500 0.7500  4 As 3.07

# 6
# HfGaAsO

HfGaAsO after structural relaxation (PBE, OQMD).

As for the polymorph energy (0 for the lowest one): 3.18 eV per formula unit. Its space-group type is No. 129.

a b c (Å): 4.2375 4.2375 7.6354
angles (deg): 90.00 90.00 90.00
Closest atoms and distances in Å follow each position.
Positions (direct):
As1 0.0000 0.5000 0.2955  4 Hf 2.63, 1 Ga 2.88
As2 0.5000 0.0000 0.7045  4 Hf 2.63, 1 Ga 2.88
Ga1 0.0000 0.5000 0.9190  4 O 2.21
Ga2 0.5000 0.0000 0.0810  4 O 2.21
O1 0.5000 0.5000 0.0000  4 Ga 2.21
O2 0.0000 0.0000 0.0000  4 Ga 2.21
Hf1 0.0000 0.0000 0.5000  4 As 2.63
Hf2 0.5000 0.5000 0.5000  4 As 2.63

# 7
# CdSnMo

CdSnMo after structural relaxation (PBE, OQMD).

Its space-group type is No. 216. For the electronic total energy, the calculation gives -4.4421 eV/atom.

a b c (Å): 4.6113 4.6113 4.6113
angles (deg): 60.00 60.00 60.00
Closest atoms and distances in Å follow each position.
Positions (direct):
Cd1 0.2500 0.2500 0.2500  4 Sn 2.82
Sn1 0.0000 0.0000 0.0000  4 Cd 2.82, 4 Mo 2.82
Mo1 0.7500 0.7500 0.7500  4 Sn 2.82

# 8
# BaNd

BaNd after structural relaxation (PBE, OQMD).

As for the polymorph energy (0 for the lowest one): 1.05 eV per formula unit. Its space-group type is No. 225.

a b c (Å): 5.0453 5.0453 5.0453
angles (deg): 60.00 60.00 60.00
Closest atoms and distances in Å follow each position.
Positions (direct):
Ba1 0.0000 0.0000 0.0000  6 Nd 3.57
Nd1 0.5000 0.5000 0.5000  6 Ba 3.57

# 9
# Ho3Mg3CdAgPd

Ho3Mg3CdAgPd after structural relaxation (PBE, OQMD).

Its space-group type is No. 174. For the electronic total energy, the calculation gives -3.4451 eV/atom.

a b c (Å): 7.8463 7.8463 3.9441
angles (deg): 90.00 90.00 120.00
Closest atoms and distances in Å follow each position.
Positions (direct):
Ho1 0.4254 0.0290 0.5000  2 Pd 2.94, 1 Ag 3.23, 2 Cd 3.23
Ho2 0.9710 0.3964 0.5000  2 Pd 2.94, 1 Ag 3.23, 2 Cd 3.23
Ho3 0.6036 0.5746 0.5000  2 Pd 2.94, 1 Ag 3.23, 2 Cd 3.23
Pd1 0.6667 0.3333 0.0000  6 Ho 2.94, 3 Mg 3.02
Ag1 0.0000 0.0000 0.5000  6 Mg 2.78
Cd1 0.3333 0.6667 0.0000  3 Mg 2.97, 6 Ho 3.23
Mg1 0.2483 0.2528 0.0000  2 Ag 2.78, 1 Cd 2.97, 1 Pd 3.02
Mg2 0.0045 0.7517 0.0000  2 Ag 2.78, 1 Cd 2.97, 1 Pd 3.02
Mg3 0.7472 0.9955 0.0000  2 Ag 2.78, 1 Cd 2.97, 1 Pd 3.02

# 10
# BaZrNO

BaZrNO after structural relaxation (PBE, OQMD).

As for the polymorph energy (0 for the lowest one): 0.35 eV per formula unit. Its space-group type is No. 26.

a b c (Å): 3.7706 6.0390 7.2021
angles (deg): 90.00 90.00 90.00
Closest atoms and distances in Å follow each position.
Positions (direct):
N1 0.0000 0.9557 0.2768  2 Zr 2.08
N2 0.0000 0.4557 0.7232  2 Zr 2.08
O1 0.5000 0.8260 0.9095  2 Zr 2.06
O2 0.5000 0.3260 0.0905  2 Zr 2.06
Ba1 0.0000 0.4782 0.3451  2 N 2.73-2.93, 2 O 2.79
Ba2 0.0000 0.9782 0.6549  2 N 2.73-2.93, 2 O 2.79
Zr1 0.5000 0.4941 0.8412  2 O 2.06, 2 N 2.08
Zr2 0.5000 0.9941 0.1588  2 O 2.06, 2 N 2.08

# 11
# LaPr2Tl3AgPt2

LaPr2Tl3AgPt2 after structural relaxation (PBE, OQMD).

Its space-group type is No. 38. For the electronic total energy, the calculation gives -4.7269 eV/atom.

a b c (Å): 4.0370 8.0110 8.0110
angles (deg): 119.80 90.00 90.00
Closest atoms and distances in Å follow each position.
Positions (direct):
Pr1 0.0000 0.5845 0.9995  4 Pt 3.15-3.16, 2 Tl 3.28, 1 Ag 3.33
Pr2 0.0000 0.9995 0.5845  4 Pt 3.15-3.16, 2 Tl 3.28, 1 Ag 3.33
Pt1 0.5000 0.3336 0.6638  3 Tl 3.00-3.01, 2 La 3.12, 4 Pr 3.15-3.16
Pt2 0.5000 0.6638 0.3336  3 Tl 3.00-3.01, 2 La 3.12, 4 Pr 3.15-3.16
Tl1 0.5000 0.7417 0.7417  2 Ag 2.90, 2 Pt 3.01
Tl2 0.5000 0.9974 0.2609  2 Ag 2.91, 2 Pt 3.00
Tl3 0.5000 0.2609 0.9974  2 Ag 2.91, 2 Pt 3.00
Ag1 0.0000 0.0009 0.0009  6 Tl 2.90-2.91
La1 0.0000 0.4176 0.4176  4 Pt 3.12, 2 Tl 3.29, 1 Ag 3.35

# 12
# AcCd4Pt2

AcCd4Pt2 after structural relaxation (PBE, OQMD).

Its space-group type is No. 136. The formation energy is -0.56 eV per atom.

a b c (Å): 8.5308 8.5308 4.3624
angles (deg): 90.00 90.00 90.00
Closest atoms and distances in Å follow each position.
Positions (direct):
Ac1 0.0000 0.0000 0.0000  4 Pt 3.22
Ac2 0.5000 0.5000 0.5000  4 Pt 3.22
Pt1 0.1962 0.1962 0.5000  6 Cd 2.79-2.83
Pt2 0.8038 0.8038 0.5000  6 Cd 2.79-2.83
Pt3 0.3038 0.6962 0.0000  6 Cd 2.79-2.83
Pt4 0.6962 0.3038 0.0000  6 Cd 2.79-2.83
Cd1 0.6561 0.0962 0.5000  3 Pt 2.79-2.83, 6 Cd 2.99-3.13
Cd2 0.1561 0.4038 0.0000  3 Pt 2.79-2.83, 6 Cd 2.99-3.13
Cd3 0.5962 0.8439 0.0000  3 Pt 2.79-2.83, 6 Cd 2.99-3.13
Cd4 0.0962 0.6561 0.5000  3 Pt 2.79-2.83, 6 Cd 2.99-3.13
Cd5 0.3439 0.9038 0.5000  3 Pt 2.79-2.83, 6 Cd 2.99-3.13
Cd6 0.4038 0.1561 0.0000  3 Pt 2.79-2.83, 6 Cd 2.99-3.13
Cd7 0.9038 0.3439 0.5000  3 Pt 2.79-2.83, 6 Cd 2.99-3.13
Cd8 0.8439 0.5962 0.0000  3 Pt 2.79-2.83, 6 Cd 2.99-3.13

Record-wise volume values, in Å³/cell: 130.13; 266.89; 223.98; 562.13; 89.17; 137.10; 69.34; 90.81; 210.29; 164.00; 224.81; 317.47